VASP calculation (PBE-GGA) on a relaxed Si2H2O3 crystal.

Output
Size of the total moment   0.0 μB per formula unit
E_tot   -6.42 eV/atom
Calculated volume   105.4 Å³/f.u.

Cell: 9.5048 9.5048 16.1669 Å, 90.00 90.00 120.00°
Last column: nearest neighbours and their distance in Å.
Space group R-3 (No. 148, hexagonal axes)
One atom of each set of equivalent atoms:
Si1 0.0000 0.0000 0.1685 (multiplicity 6)  1 H 1.47, 3 O 1.64
Si2 0.0259 0.5580 0.7228 (multiplicity 18)  1 H 1.47, 3 O 1.64
H1 0.0000 0.0000 0.2594 (multiplicity 6)  1 Si 1.47
H2 0.0275 0.1931 0.5804 (multiplicity 18)  1 Si 1.47
O1 0.0267 0.4198 0.6627 (multiplicity 18)  2 Si 1.64
O2 0.0742 0.8873 0.1354 (multiplicity 18)  2 Si 1.64